No. 1
DFT (SCAN) results for ScBePt at its PBEsol-relaxed geometry.

It has space group P-6m2 (No. 187), with a = 3.9575 Å, b = 3.9575 Å, c = 3.3991 Å, α = 90.00°, β = 90.00° and γ = 120.00°. The inequivalent atoms are Sc at (0.0000, 0.0000, 0.0000), Be at (0.3333, 0.6667, 0.5000) and Pt at (0.6667, 0.3333, 0.5000).

Its total energy is -30.62 eV per atom. Its excess energy over the best structure of this formula in the dataset is 0.000 eV/atom.



No. 2
DFT (SCAN) results for ScBe4Pt at its PBEsol-relaxed geometry.

It has space group F-43m (No. 216), with a = 6.368 Å, b = 6.368 Å, c = 6.368 Å, α = 90.00°, β = 90.00° and γ = 90.00°. The inequivalent atoms are Sc at (0.000, 0.000, 0.000), Be at (0.125, 0.125, 0.375) and Pt at (0.250, 0.250, 0.750).

Its total energy is -17.54 eV per atom.



No. 3
DFT (SCAN) results for ScBePt at its PBEsol-relaxed geometry.

It has space group F-43m (No. 216), with a = 5.989 Å, b = 5.989 Å, c = 5.989 Å, α = 90.00°, β = 90.00° and γ = 90.00°. The inequivalent atoms are Sc at (0.000, 0.000, 0.000), Be at (0.250, 0.250, 0.250) and Pt at (0.250, 0.250, 0.750).

Its total energy is -29.68 eV per atom. Its excess energy over the best structure of this formula in the dataset is 0.939 eV/atom.



No. 4
DFT (SCAN) results for ScBe2Pt at its PBEsol-relaxed geometry.

It has space group I4_1/amd (No. 141, origin choice 2), with a = 4.009 Å, b = 4.009 Å, c = 15.738 Å, α = 90.00°, β = 90.00° and γ = 90.00°. The inequivalent atoms are Sc at (0.000, 0.250, 0.375), Be at (0.000, 0.000, 0.000) and Pt at (0.000, 0.250, 0.875).

Its total energy is -23.70 eV per atom. Its excess energy over the best structure of this formula in the dataset is 0.415 eV/atom.